GGA-PBE KBe2B, optimized geometry; energy of formation from the pure elements = 0.391 eV per atom; space-group type = I4_1/amd (141); DFT total energy = -3.416 eV per atom
1.0
-4.930 -1.391 2.064
0.895 -5.263 -1.411
-0.075 -4.102 4.446
Be K B
4 2 2
direct
0.375 0.125 0.250
0.375 0.625 0.250
0.375 0.625 0.750
0.875 0.625 0.750
0.000 0.000 0.000
0.750 0.250 0.500
0.500 0.500 0.000
0.250 0.750 0.500

GGA-PBE Li2NbAu, optimized geometry; relative energy among the computed polymorphs = 0.00 eV per formula unit; energy of formation from the pure elements = 0.218 eV per atom; space-group type = Fm-3m (225); DFT total energy = -4.075 eV per atom
1.0
-1.443 -3.632 1.945
-1.233 0.108 4.186
-4.222 -0.388 1.043
Nb Au Li
1 1 2
direct
0.000 0.000 0.000
0.500 0.500 0.500
0.250 0.250 0.250
0.750 0.750 0.750

GGA-PBE TbCe2TiN5, optimized geometry; space-group type = Cmc2_1 (36); raw formation energy = -1409 meV/atom; DFT total energy = -8.745 eV per atom
1.0
-1.005 3.222 -0.988
-5.973 -3.460 1.049
-0.018 3.285 10.735
Tb Ce Ti N
2 4 2 10
direct
0.767 0.533 0.484
0.233 0.467 0.984
0.868 0.735 0.740
0.128 0.256 0.709
0.132 0.265 0.240
0.872 0.744 0.209
0.504 0.007 0.984
0.496 0.993 0.484
0.386 0.773 0.077
0.714 0.429 0.838
0.461 0.922 0.819
0.280 0.561 0.639
0.941 0.883 0.534
0.614 0.227 0.577
0.286 0.571 0.338
0.539 0.078 0.319
0.720 0.439 0.139
0.059 0.117 0.034

GGA-PBE Cs6AsAuO, optimized geometry; space-group type = P-31c (163); raw formation energy = -469 meV/atom; DFT total energy = -2.470 eV per atom
1.0
-4.964 4.763 5.083
0.938 -8.360 1.551
11.991 2.997 8.902
Cs As Au O
12 2 2 2
direct
0.672 0.621 0.137
0.948 0.328 0.137
0.328 0.948 0.637
0.052 0.672 0.863
0.379 0.328 0.363
0.948 0.621 0.363
0.621 0.948 0.863
0.672 0.052 0.363
0.052 0.379 0.637
0.379 0.052 0.137
0.621 0.672 0.637
0.328 0.379 0.863
0.000 0.000 0.000
0.000 0.000 0.500
0.333 0.667 0.250
0.667 0.333 0.750
0.667 0.333 0.250
0.333 0.667 0.750

GGA-PBE CaPb2Se, optimized geometry; space-group type = I-4m2 (119); raw formation energy = -464 meV/atom; DFT total energy = -3.690 eV per atom
1.0
5.736 -0.003 0.000
1.411 5.560 0.000
-3.574 -2.778 3.523
Pb Ca Se
2 1 1
direct
0.000 0.000 0.000
0.250 0.750 0.500
0.750 0.250 0.500
0.500 0.500 0.000

GGA-PBE Pm4Dy3Bi8, optimized geometry; energy of formation from the pure elements = -0.709 eV per atom; space-group type = C2/m (12); DFT total energy = -4.966 eV per atom
1.0
9.060 -0.131 -0.188
-4.423 7.866 0.131
-4.423 -2.608 7.423
Pm Dy Bi
4 3 8
direct
0.500 0.000 0.000
0.000 0.500 0.000
0.000 0.000 0.000
0.000 0.000 0.500
0.500 0.500 0.000
0.500 0.000 0.500
0.500 0.500 0.500
0.513 0.259 0.259
0.000 0.744 0.256
0.006 0.259 0.259
0.500 0.748 0.252
0.500 0.252 0.748
0.994 0.741 0.741
0.000 0.256 0.744
0.487 0.741 0.741

GGA-PBE Sc3GeRh, optimized geometry; relative energy among the computed polymorphs = 0.00 eV per formula unit; energy of formation from the pure elements = -0.219 eV per atom; space-group type = Pm-3m (221); DFT total energy = -6.412 eV per atom
1.0
-0.193 4.438 2.159
0.868 -2.097 4.387
4.859 0.551 -0.698
Sc Ge Rh
3 1 1
direct
0.000 0.500 0.000
0.000 0.000 0.500
0.500 0.000 0.000
0.500 0.500 0.500
0.000 0.000 0.000

GGA-PBE NdCu2Te3, optimized geometry; space-group type = Pmmn (59); raw formation energy = -467 meV/atom; DFT total energy = -4.198 eV per atom
1.0
4.618 0.000 0.000
0.000 6.161 0.000
0.000 0.000 12.082
Nd Cu Te
2 4 6
direct
0.516 0.500 0.500
0.484 0.000 0.000
0.973 0.000 0.612
0.973 0.000 0.388
0.027 0.500 0.112
0.027 0.500 0.888
0.007 0.500 0.676
0.478 0.000 0.500
0.007 0.500 0.324
0.993 0.000 0.176
0.522 0.500 0.000
0.993 0.000 0.824

GGA-PBE Pm2Ga6Pd9, optimized geometry; energy of formation from the pure elements = -0.670 eV per atom; space-group type = P6/mmm (191); DFT total energy = -5.046 eV per atom
1.0
-0.952 5.032 -2.281
-0.530 -4.634 -3.111
-11.525 -0.770 3.111
Pm Ga Pd
2 6 9
direct
0.000 0.000 0.694
0.000 0.000 0.306
0.333 0.667 0.000
0.667 0.333 0.000
0.333 0.667 0.664
0.667 0.333 0.664
0.667 0.333 0.336
0.333 0.667 0.336
0.500 0.000 0.832
0.000 0.500 0.832
0.500 0.500 0.832
0.500 0.000 0.168
0.000 0.500 0.168
0.500 0.500 0.168
0.500 0.000 0.500
0.000 0.500 0.500
0.500 0.500 0.500

GGA-PBE NdAlNiPd, optimized geometry; energy of formation from the pure elements = -0.668 eV per atom; space-group type = R3m (160); DFT total energy = -5.539 eV per atom
1.0
4.299 0.000 0.000
-2.149 3.721 -0.001
0.000 -2.476 4.829
Nd Al Ni Pd
1 1 1 1
direct
0.615 0.231 0.488
0.122 0.245 0.009
0.819 0.638 0.099
0.409 0.819 0.870

GGA-PBE Pr4PRuBr2, optimized geometry; space-group type = P2/m (10); raw formation energy = -1108 meV/atom; DFT total energy = -5.752 eV per atom
1.0
4.114 0.000 0.000
0.000 7.500 0.319
0.000 -2.458 7.493
Pr P Ru Br
4 1 1 2
direct
0.500 0.243 0.194
0.500 0.757 0.806
0.000 0.274 0.800
0.000 0.726 0.200
0.000 0.000 0.000
0.500 0.500 0.000
0.500 0.000 0.500
0.000 0.500 0.500

GGA-PBE Ca2Ag2Sn, optimized geometry; relative energy among the computed polymorphs = 0.00 eV per formula unit; energy of formation from the pure elements = -0.460 eV per atom; space-group type = C2/c (15); DFT total energy = -3.202 eV per atom
1.0
5.918 0.000 0.000
-2.959 5.200 0.011
0.000 -2.375 8.207
Ca Ag Sn
4 4 2
direct
0.511 0.307 0.150
0.204 0.693 0.350
0.489 0.693 0.850
0.796 0.307 0.650
0.734 0.735 0.509
0.999 0.265 0.991
0.266 0.265 0.491
0.001 0.735 0.009
0.806 0.000 0.250
0.194 0.000 0.750

GGA-PBE Ac2MgZn4Ge3, optimized geometry; energy of formation from the pure elements = -0.417 eV per atom; space-group type = P-4m2 (115); DFT total energy = -3.293 eV per atom
1.0
-3.069 -2.576 -1.961
-1.097 -1.715 3.969
-7.428 7.833 1.332
Ac Mg Zn Ge
2 1 4 3
direct
0.500 0.000 0.241
0.000 0.500 0.759
0.500 0.500 0.500
0.500 0.500 0.000
0.000 0.000 0.000
0.500 0.000 0.637
0.000 0.500 0.363
0.000 0.000 0.500
0.500 0.000 0.870
0.000 0.500 0.130

GGA-PBE ScTiRu, optimized geometry; relative energy among the computed polymorphs = 0.20 eV per formula unit; energy of formation from the pure elements = -0.354 eV per atom; space-group type = P3m1 (156); DFT total energy = -8.188 eV per atom
1.0
-3.962 -1.259 1.323
2.962 -2.984 -1.163
1.010 -0.129 2.902
Sc Ti Ru
1 1 1
direct
0.667 0.333 0.065
0.000 0.000 0.644
0.333 0.667 0.392

GGA-PBE PmDy7Tm3, optimized geometry; relative energy among the computed polymorphs = 0.00 eV per formula unit; energy of formation from the pure elements = 0.143 eV per atom; space-group type = P2/m (10); DFT total energy = -4.437 eV per atom
1.0
8.349 -0.693 -2.858
-2.156 9.569 -0.597
-1.877 -0.100 5.186
Pm Dy Tm
1 7 3
direct
0.500 0.500 0.500
0.924 0.832 0.924
0.826 0.643 0.326
0.647 0.290 0.147
0.353 0.710 0.853
0.500 0.000 0.500
0.174 0.357 0.674
0.076 0.168 0.076
0.223 0.003 0.723
0.000 0.500 0.000
0.777 0.997 0.277

GGA-PBE AcTbY4, optimized geometry; relative energy among the computed polymorphs = 0.90 eV per formula unit; energy of formation from the pure elements = 0.219 eV per atom; space-group type = Pmmm (47); DFT total energy = -5.547 eV per atom
1.0
3.489 0.247 0.001
-0.421 5.942 0.001
-0.002 -0.002 10.166
Ac Tb Y
1 1 4
direct
0.497 0.501 0.002
0.997 0.001 0.502
0.997 0.501 0.680
0.997 0.501 0.323
0.497 0.001 0.200
0.497 0.001 0.803

GGA-PBE SrPa2SnO8, optimized geometry; space-group type = P2/m (10); raw formation energy = -2996 meV/atom; DFT total energy = -8.358 eV per atom
1.0
5.089 0.049 -0.003
0.099 5.089 -0.006
0.004 0.008 7.170
Sr Pa Sn O
1 2 1 8
direct
0.000 0.000 0.500
0.500 0.500 0.754
0.500 0.500 0.246
0.000 0.000 0.000
0.200 0.798 0.213
0.694 0.696 0.000
0.800 0.202 0.213
0.800 0.202 0.787
0.306 0.304 0.000
0.200 0.798 0.787
0.669 0.672 0.500
0.331 0.328 0.500

GGA-PBE ZnSi4Sb, optimized geometry; space-group type = F-43m (216); raw formation energy = 533 meV/atom; DFT total energy = -3.982 eV per atom
1.0
0.000 3.744 3.744
3.744 0.000 3.744
3.744 3.744 0.000
Zn Si Sb
1 4 1
direct
0.750 0.750 0.750
0.870 0.377 0.377
0.377 0.377 0.870
0.377 0.870 0.377
0.377 0.377 0.377
0.000 0.000 0.000

GGA-PBE Fe3CoRh, optimized geometry; relative energy among the computed polymorphs = 4.90 eV per formula unit; energy of formation from the pure elements = 0.974 eV per atom; space-group type = Pm-3m (221); DFT total energy = -6.995 eV per atom
1.0
-3.818 -1.353 1.263
1.377 -4.011 -0.136
1.237 0.288 4.049
Co Rh Fe
1 1 3
direct
0.000 0.000 0.000
0.500 0.500 0.500
0.000 0.500 0.000
0.000 0.000 0.500
0.500 0.000 0.000

GGA-PBE Ho2ThPaN4, optimized geometry; space-group type = P2/m (10); raw formation energy = -1645 meV/atom; DFT total energy = -9.067 eV per atom
1.0
-0.112 -3.093 1.673
-0.552 -2.882 -5.363
5.893 0.546 1.404
Ho Th Pa N
2 1 1 4
direct
0.500 0.000 0.500
0.000 0.500 0.500
0.500 0.500 0.000
0.000 0.000 0.000
0.500 0.237 0.247
0.500 0.763 0.753
0.000 0.235 0.749
0.000 0.765 0.251